No. 1
Density functional theory data (PBE-GGA) for a relaxed structure of Zn2CuNi.

CIF file:
```
data_Zn2CuNi
_chemical_formula_sum 'Zn2 Cu1 Ni1'
_space_group_name_H-M_alt 'P 1 2/m 1'
_space_group_IT_number 10
_space_group_name_Hall '-P 2y'
_cell_length_a 4.426
_cell_length_b 2.651
_cell_length_c 4.625
_cell_angle_alpha 90.00
_cell_angle_beta 110.94
_cell_angle_gamma 90.00
loop_
_atom_site_label
_atom_site_fract_x
_atom_site_fract_y
_atom_site_fract_z
_atom_site_occupancy
Zn1 0.000 0.000 0.000 1
Zn2 0.000 0.500 0.500 1
Cu1 0.500 0.000 0.500 1
Ni1 0.500 0.500 0.000 1
```

- M_tot (μB per formula unit) = 0.0
- energy of formation from the pure elements (eV/atom) = -0.1047
- V (Å³ per atom) = 12.67
- crystal system = monoclinic

---

No. 2
Density functional theory data (PBE-GGA) for a relaxed structure of Zn2CuNi.

CIF file:
```
data_Zn2CuNi
_chemical_formula_sum 'Zn2 Cu1 Ni1'
_space_group_name_H-M_alt 'P 4 m m'
_space_group_IT_number 99
_space_group_name_Hall 'P 4 -2'
_cell_length_a 3.052
_cell_length_b 3.052
_cell_length_c 5.480
_cell_angle_alpha 90.00
_cell_angle_beta 90.00
_cell_angle_gamma 90.00
loop_
_atom_site_label
_atom_site_fract_x
_atom_site_fract_y
_atom_site_fract_z
_atom_site_occupancy
Zn1 0.000 0.000 0.000 1
Zn2 0.500 0.500 0.287 1
Cu1 0.000 0.000 0.529 1
Ni1 0.500 0.500 0.773 1
```

- M_tot (μB per formula unit) = 0.0
- energy of formation from the pure elements (eV/atom) = -0.0776
- V (Å³ per atom) = 12.76
- crystal system = tetragonal

---

No. 3
Density functional theory data (PBE-GGA) for a relaxed structure of ZnCu4Ni15.

CIF file:
```
data_ZnCu4Ni15
_chemical_formula_sum 'Zn1 Cu4 Ni15'
_space_group_name_H-M_alt 'P 4/m m m'
_space_group_IT_number 123
_space_group_name_Hall '-P 4 2'
_cell_length_a 3.546
_cell_length_b 3.546
_cell_length_c 17.726
_cell_angle_alpha 90.00
_cell_angle_beta 90.00
_cell_angle_gamma 90.00
loop_
_atom_site_label
_atom_site_fract_x
_atom_site_fract_y
_atom_site_fract_z
_atom_site_occupancy
Zn1 0.000 0.000 0.000 1
Cu1 0.000 0.000 0.201 1
Cu2 0.000 0.000 0.400 1
Ni1 0.000 0.500 0.102 1
Ni2 0.000 0.500 0.301 1
Ni3 0.000 0.500 0.500 1
Ni4 0.500 0.500 0.000 1
Ni5 0.500 0.500 0.201 1
Ni6 0.500 0.500 0.401 1
```

- M_tot (μB per formula unit) = 2.3
- energy of formation from the pure elements (eV/atom) = 0.0126
- V (Å³ per atom) = 11.14
- crystal system = tetragonal